VASP calculation (PBE-GGA) on Sr3Si6Pd20 after structural relaxation.

The structure belongs to space group Fm-3m (No. 225); the cell edges are 12.460, 12.460 and 12.460 Å and the angles 90.00°, 90.00° and 90.00°. Symmetry generates all atoms from Sr at (0.000, 0.000, 0.000), Sr at (0.250, 0.250, 0.250), Si at (0.000, 0.000, 0.268), Pd at (0.000, 0.173, 0.173) and Pd at (0.113, 0.113, 0.387).

The calculation puts the density of states at the Fermi level at 66.161 states/eV per cell. As for the calculated volume: 1934.5 Å³ per cell. The value obtained for the energy relative to the elements, uncorrected is -0.684 eV per atom. As for the crystal system: cubic.